No. 1
A plane-wave DFT calculation with PBE-GGA was carried out for Tl5Os after structural relaxation.

Its energy of formation is 0.61 eV per atom. The calculation puts the total DFT energy (no corrections) at -3.237 eV/atom.

It has space group P-62m (No. 189), with a = 6.9071 Å, b = 6.9071 Å, c = 4.2058 Å, α = 90.00°, β = 90.00° and γ = 120.00°. The asymmetric unit holds Tl at (0.0000, 0.7252, 0.0000), Tl at (0.3333, 0.6667, 0.5000) and Os at (0.0000, 0.0000, 0.5000).

No. 2
A plane-wave DFT calculation with PBE-GGA was carried out for Cs2Cl2F7 after structural relaxation.

The calculation puts the total DFT energy (no corrections) at -2.909 eV/atom. The calculation puts the formation energy from raw total energies at -13.50 eV/f.u.

It has space group C2/m (No. 12), with a = 8.9442 Å, b = 9.2727 Å, c = 6.1193 Å, α = 90.00°, β = 94.09° and γ = 90.00°. The asymmetric unit holds Cs at (0.0000, 0.2256, 0.0000), Cl at (0.2292, 0.5000, 0.4831), F at (0.0000, 0.0000, 0.5000), F at (0.2213, 0.3629, 0.7288) and F at (0.2306, 0.5000, 0.1855).

No. 3
A plane-wave DFT calculation with PBE-GGA was carried out for Dy6Bi3Sb2Te after structural relaxation.

The calculation puts the total DFT energy (no corrections) at -5.265 eV/atom. The calculation puts the formation energy from raw total energies at -12.53 eV/f.u.

It has space group C2/m (No. 12), with a = 19.2653 Å, b = 4.4254 Å, c = 8.8534 Å, α = 90.00°, β = 103.20° and γ = 90.00°. The asymmetric unit holds Dy at (0.0020, 0.0000, 0.2536), Dy at (0.1681, 0.5000, 0.0886), Dy at (0.1683, 0.5000, 0.5794), Bi at (0.0000, 0.5000, 0.5000), Bi at (0.1651, 0.0000, 0.8332), Sb at (0.1665, 0.0000, 0.3323) and Te at (0.0000, 0.5000, 0.0000).